Computed, not measured: crystalline LiHgWF2 at its relaxed geometry at the GGA+U level of DFT.

a b c (Å): 4.0274 4.0274 5.2992
angles (deg): 90.00 90.00 90.00
With the nearest neighbours (Å) after each atom.
Fractional positions:
Li (0.0000, 0.0000, 0.0000)  4 F 2.01
Hg (0.5000, 0.5000, 0.5000)  4 W 2.85
W (0.0000, 0.0000, 0.5000)  2 Li 2.65, 4 Hg 2.85
F (0.0000, 0.5000, 0.0000)  2 Li 2.01
F (0.5000, 0.0000, 0.0000)  2 Li 2.01

Calculated values
Electronic total energy ... -16.497 eV for the cell shown
Spin magnetization ... 4.1 μB per formula unit